(1)
The following is a PBE-GGA calculation of crystalline NdIn2Ir at its relaxed geometry, from Alexandria via LeMat-Bulk.

abc: 5.6933 8.1236 16.0864
angles: 90.00 90.00 90.00
Fractional positions:
Nd (0.4597, 0.2500, 0.1407)
Nd (0.9597, 0.7500, 0.3593)
Nd (0.5403, 0.7500, 0.8593)
Nd (0.0403, 0.2500, 0.6407)
Nd (0.7406, 0.2500, 0.3967)
Nd (0.2406, 0.7500, 0.1033)
Nd (0.2594, 0.7500, 0.6033)
Nd (0.7594, 0.2500, 0.8967)
In (0.9691, 0.0497, 0.2143)
In (0.4691, 0.9503, 0.2857)
In (0.0309, 0.5497, 0.7857)
In (0.5309, 0.4503, 0.7143)
In (0.0309, 0.9503, 0.7857)
In (0.5309, 0.0497, 0.7143)
In (0.9691, 0.4503, 0.2143)
In (0.4691, 0.5497, 0.2857)
In (0.7490, 0.5511, 0.0378)
In (0.2490, 0.4489, 0.4622)
In (0.2510, 0.0511, 0.9622)
In (0.7510, 0.9489, 0.5378)
In (0.2510, 0.4489, 0.9622)
In (0.7510, 0.5511, 0.5378)
In (0.7490, 0.9489, 0.0378)
In (0.2490, 0.0511, 0.4622)
Ir (0.2435, 0.2500, 0.3190)
Ir (0.7435, 0.7500, 0.1810)
Ir (0.7565, 0.7500, 0.6810)
Ir (0.2565, 0.2500, 0.8190)
Ir (0.9768, 0.2500, 0.0708)
Ir (0.4768, 0.7500, 0.4292)
Ir (0.0232, 0.7500, 0.9292)
Ir (0.5232, 0.2500, 0.5708)

The calculation puts the formation energy at -509 meV per atom. As for the space group: Pnma.

(2)
The following is a PBE-GGA calculation of crystalline Nd2InIr at its relaxed geometry, from Alexandria via LeMat-Bulk.

abc: 5.2435 5.2435 5.2435
angles: 60.00 60.00 60.00
Fractional positions:
Ir (0.5000, 0.5000, 0.5000)
Nd (0.2500, 0.2500, 0.2500)
Nd (0.7500, 0.7500, 0.7500)
In (0.0000, 0.0000, 0.0000)

The calculation puts the formation energy at -403 meV per atom. As for the space group: Fm-3m. Its energy above the most stable polymorph in this dataset is 0.163 eV per atom.

(3)
The following is a PBE-GGA calculation of crystalline NdInIr at its relaxed geometry, from Alexandria via LeMat-Bulk.

abc: 3.4074 3.4074 6.3501
angles: 105.56 105.56 90.00
Fractional positions:
Ir (0.9414, 0.9414, 0.8829)
Nd (0.5969, 0.5969, 0.1937)
In (0.3117, 0.3117, 0.6234)

The calculation puts the formation energy at -365 meV per atom. As for the space group: I4mm.

(4)
The following is a PBE-GGA calculation of crystalline Nd2InIr at its relaxed geometry, from Alexandria via LeMat-Bulk.

abc: 3.6313 3.6313 7.8389
angles: 90.00 90.00 90.00
Fractional positions:
Ir (0.5000, 0.5000, 0.0000)
Nd (0.0000, 0.0000, 0.7849)
Nd (0.0000, 0.0000, 0.2151)
In (0.5000, 0.5000, 0.5000)

The calculation puts the formation energy at -527 meV per atom. As for the space group: P4/mmm. Its energy above the most stable polymorph in this dataset is 0.039 eV per atom.

(5)
The following is a PBE-GGA calculation of crystalline Nd7In2Ir2 at its relaxed geometry, from Alexandria via LeMat-Bulk.

abc: 7.0609 7.2806 7.0609
angles: 90.00 106.76 90.00
Fractional positions:
Nd (0.9998, 0.2507, 0.5003)
Nd (0.5003, 0.7493, 0.9998)
Nd (0.0002, 0.7493, 0.4997)
Nd (0.4997, 0.2507, 0.0002)
Nd (0.0000, 0.0000, 0.0000)
Nd (0.5002, 0.7551, 0.4998)
Nd (0.4998, 0.2449, 0.5002)
In (0.8289, 0.5000, 0.8289)
In (0.1711, 0.5000, 0.1711)
Ir (0.7107, 0.0000, 0.2893)
Ir (0.2893, 0.0000, 0.7107)

The calculation puts the formation energy at -407 meV per atom. As for the space group: Cmmm.

(6)
The following is a PBE-GGA calculation of crystalline NdInIr at its relaxed geometry, from Alexandria via LeMat-Bulk.

abc: 4.2362 7.5251 12.9167
angles: 88.71 90.00 90.00
Fractional positions:
Nd (0.7500, 0.5384, 0.3772)
Nd (0.2500, 0.9529, 0.7143)
Nd (0.7500, 0.0471, 0.2857)
Nd (0.7500, 0.6560, 0.0812)
Nd (0.2500, 0.4616, 0.6228)
Nd (0.2500, 0.3440, 0.9188)
In (0.2500, 0.9945, 0.0862)
In (0.2500, 0.8578, 0.4562)
In (0.7500, 0.6221, 0.7963)
In (0.7500, 0.1422, 0.5438)
In (0.2500, 0.3779, 0.2037)
In (0.7500, 0.0055, 0.9138)
Ir (0.2500, 0.7550, 0.9150)
Ir (0.7500, 0.2545, 0.7494)
Ir (0.7500, 0.7550, 0.5842)
Ir (0.7500, 0.2450, 0.0850)
Ir (0.2500, 0.2450, 0.4158)
Ir (0.2500, 0.7455, 0.2506)

The calculation puts the formation energy at -623 meV per atom. As for the space group: P2_1/m.

(7)
The following is a PBE-GGA calculation of crystalline Nd6In2Ir at its relaxed geometry, from Alexandria via LeMat-Bulk.

abc: 6.0055 9.0436 10.4428
angles: 90.00 87.15 90.00
Fractional positions:
Nd (0.9243, 0.9774, 0.2371)
Nd (0.9172, 0.6918, 0.5596)
Nd (0.9165, 0.6632, 0.9391)
Nd (0.5835, 0.1632, 0.5609)
Nd (0.5828, 0.1918, 0.9404)
Nd (0.5757, 0.4774, 0.2629)
Nd (0.0757, 0.0226, 0.7629)
Nd (0.0828, 0.3082, 0.4404)
Nd (0.0835, 0.3368, 0.0609)
Nd (0.4165, 0.8368, 0.4391)
Nd (0.4172, 0.8082, 0.0596)
Nd (0.4243, 0.5226, 0.7371)
In (0.9359, 0.3702, 0.7465)
In (0.5641, 0.8702, 0.7535)
In (0.4359, 0.1298, 0.2465)
In (0.0641, 0.6298, 0.2535)
Ir (0.5000, 0.5000, 0.0000)
Ir (0.0000, 0.0000, 0.5000)

The calculation puts the formation energy at -336 meV per atom. As for the space group: P2_1/c. Its energy above the most stable polymorph in this dataset is 0.076 eV per atom.

(8)
The following is a PBE-GGA calculation of crystalline Nd8In2Ir3 at its relaxed geometry, from Alexandria via LeMat-Bulk.

abc: 5.0812 10.2299 9.1183
angles: 124.06 90.02 90.00
Fractional positions:
Nd (0.9999, 0.6109, 0.2215)
Nd (0.0001, 0.3891, 0.7785)
Nd (0.9999, 0.1131, 0.2259)
Nd (0.0001, 0.8869, 0.7741)
Nd (0.5001, 0.6421, 0.7759)
Nd (0.5001, 0.1327, 0.7746)
Nd (0.4999, 0.8673, 0.2254)
Nd (0.4999, 0.3579, 0.2241)
In (0.5000, 0.2564, 0.5119)
In (0.5000, 0.7436, 0.4881)
Ir (0.5000, 0.0000, 0.0000)
Ir (0.0000, 0.2558, 0.9998)
Ir (0.0000, 0.7442, 0.0001)

The calculation puts the formation energy at -398 meV per atom. As for the space group: P2/m. Its energy above the most stable polymorph in this dataset is 0.000 eV per atom.

(9)
The following is a PBE-GGA calculation of crystalline Nd6In3Ir at its relaxed geometry, from Alexandria via LeMat-Bulk.

abc: 5.4030 9.4958 11.7773
angles: 107.55 90.00 90.00
Fractional positions:
Nd (0.2500, 0.4588, 0.0848)
Nd (0.7500, 0.5412, 0.9152)
Nd (0.2500, 0.1270, 0.1495)
Nd (0.7500, 0.8730, 0.8505)
Nd (0.2500, 0.6862, 0.6656)
Nd (0.7500, 0.3137, 0.3344)
Nd (0.2500, 0.2174, 0.4995)
Nd (0.7500, 0.7826, 0.5005)
Nd (0.2500, 0.8535, 0.3283)
Nd (0.7500, 0.1465, 0.6717)
Nd (0.2500, 0.0981, 0.8579)
Nd (0.7500, 0.9019, 0.1421)
In (0.2500, 0.5146, 0.3771)
In (0.7500, 0.4854, 0.6229)
In (0.2500, 0.4035, 0.7814)
In (0.7500, 0.5965, 0.2186)
In (0.2500, 0.7707, 0.9740)
In (0.7500, 0.2293, 0.0260)
Ir (0.2500, 0.9594, 0.5968)
Ir (0.7500, 0.0406, 0.4032)

The calculation puts the formation energy at -406 meV per atom. As for the space group: P2_1/m. Its energy above the most stable polymorph in this dataset is 0.000 eV per atom.

(10)
The following is a PBE-GGA calculation of crystalline Nd3InIr8 at its relaxed geometry, from Alexandria via LeMat-Bulk.

abc: 5.4051 5.4051 9.3730
angles: 73.24 73.24 60.00
Fractional positions:
Nd (0.3757, 0.3757, 0.8730)
Nd (0.9965, 0.9965, 0.0105)
Nd (0.5029, 0.5029, 0.4914)
In (0.8734, 0.8734, 0.3799)
Ir (0.9370, 0.4371, 0.1888)
Ir (0.4396, 0.9376, 0.6853)
Ir (0.4371, 0.4371, 0.1888)
Ir (0.9376, 0.9376, 0.6853)
Ir (0.1879, 0.1879, 0.4363)
Ir (0.6879, 0.6879, 0.9364)
Ir (0.4371, 0.9370, 0.1888)
Ir (0.9376, 0.4396, 0.6853)

The calculation puts the formation energy at -511 meV per atom. As for the space group: R3m.

(11)
The following is a PBE-GGA calculation of crystalline Nd2InIr at its relaxed geometry, from Alexandria via LeMat-Bulk.

abc: 4.0753 4.0703 8.6129
angles: 103.75 89.94 120.17
Fractional positions:
Nd (0.8517, 0.4596, 0.3546)
Nd (0.3168, 0.3899, 0.7499)
In (0.0837, 0.9246, 0.0522)
Ir (0.5843, 0.9248, 0.5523)

The calculation puts the formation energy at -454 meV per atom. As for the space group: C2/m. Its energy above the most stable polymorph in this dataset is 0.112 eV per atom.

(12)
The following is a PBE-GGA calculation of crystalline Nd6In3Ir at its relaxed geometry, from Alexandria via LeMat-Bulk.

abc: 5.3849 9.3002 11.9896
angles: 90.00 90.02 90.00
Fractional positions:
Nd (0.5009, 0.1535, 0.9179)
Nd (0.5005, 0.1925, 0.5812)
Nd (0.5009, 0.4879, 0.2621)
Nd (0.4991, 0.5121, 0.7379)
Nd (0.4995, 0.8075, 0.4188)
Nd (0.4991, 0.8465, 0.0821)
Nd (0.0009, 0.3465, 0.4179)
Nd (0.0005, 0.3075, 0.0812)
Nd (0.0009, 0.0121, 0.7621)
Nd (0.9991, 0.9879, 0.2379)
Nd (0.9995, 0.6925, 0.9188)
Nd (0.9991, 0.6535, 0.5821)
In (0.5008, 0.8472, 0.7254)
In (0.5000, 0.5000, 0.0000)
In (0.4992, 0.1528, 0.2746)
In (0.0008, 0.6528, 0.2254)
In (0.0000, 0.0000, 0.5000)
In (0.9992, 0.3472, 0.7746)
Ir (0.5000, 0.5000, 0.5000)
Ir (0.0000, 0.0000, 0.0000)

The calculation puts the formation energy at -395 meV per atom. As for the space group: Pnnm. Its energy above the most stable polymorph in this dataset is 0.011 eV per atom.

Question: Number 7 is which compound?
Answer: Nd6In2Ir

What did the second record say?
The following is a PBE-GGA calculation of crystalline Nd2InIr at its relaxed geometry, from Alexandria via LeMat-Bulk.

abc: 5.2435 5.2435 5.2435
angles: 60.00 60.00 60.00
Fractional positions:
Ir (0.5000, 0.5000, 0.5000)
Nd (0.2500, 0.2500, 0.2500)
Nd (0.7500, 0.7500, 0.7500)
In (0.0000, 0.0000, 0.0000)

The calculation puts the formation energy at -403 meV per atom. As for the space group: Fm-3m. Its energy above the most stable polymorph in this dataset is 0.163 eV per atom.